Entry 1:
A geometry-optimized TlAg6Pd5 structure, computed with PBE. Values from VASP.

Quantum ESPRESSO input file:
```
&SYSTEM
  ibrav = 0, nat = 12, ntyp = 3
/
ATOMIC_SPECIES
Tl 204.38 Tl.upf
Ag 107.87 Ag.upf
Pd 106.42 Pd.upf
ATOMIC_POSITIONS angstrom
Tl 0.000 0.000 0.000
Ag 2.046 4.005 2.133
Ag 2.046 4.005 6.189
Ag 2.046 0.000 2.199
Ag 2.046 0.000 6.123
Ag 2.046 -4.005 2.133
Ag 2.046 -4.005 6.189
Pd 0.000 0.000 4.161
Pd 2.046 2.027 4.161
Pd 2.046 2.011 0.000
Pd 2.046 -2.011 0.000
Pd 2.046 -2.027 4.161
CELL_PARAMETERS angstrom
2.046 -6.059 0.000
2.046 6.059 0.000
0.000 0.000 8.322
```

## Properties
Formation enthalpy at 0 K = -45 meV per atom
Magnetization = 0.00 μB/f.u.
Space group = Cmmm, No. 65
Density = 11.137 g/cm3
D(E_F) = 5.5 states/eV per cell

---

Entry 2:
A geometry-optimized TlAgPd3 structure, computed with PBE. Values from VASP.

Quantum ESPRESSO input file:
```
&SYSTEM
  ibrav = 0, nat = 10, ntyp = 3
/
ATOMIC_SPECIES
Tl 204.38 Tl.upf
Ag 107.87 Ag.upf
Pd 106.42 Pd.upf
ATOMIC_POSITIONS angstrom
Tl 0.398 0.085 2.036
Tl 1.743 2.992 4.243
Ag 0.544 2.219 0.060
Ag 1.596 0.858 6.220
Pd -0.855 2.747 2.596
Pd -0.795 2.111 5.434
Pd 0.800 -1.196 4.436
Pd 1.340 4.273 1.844
Pd 2.936 0.966 0.845
Pd 2.995 0.330 3.684
CELL_PARAMETERS angstrom
4.895 0.000 0.000
-1.166 5.933 0.000
-1.588 -2.856 6.279
```

## Properties
Formation enthalpy at 0 K = -43 meV per atom
Magnetization = 0.00 μB/f.u.
Space group = P-1, No. 2
Density = 11.501 g/cm3
D(E_F) = 4.2 states/eV per cell

---

Entry 3:
A geometry-optimized TlAg8Pd6 structure, computed with PBE. Values from VASP.

Quantum ESPRESSO input file:
```
&SYSTEM
  ibrav = 0, nat = 15, ntyp = 3
/
ATOMIC_SPECIES
Tl 204.38 Tl.upf
Ag 107.87 Ag.upf
Pd 106.42 Pd.upf
ATOMIC_POSITIONS angstrom
Tl 0.000 0.000 0.000
Ag -2.612 -0.091 7.523
Ag -1.227 -2.308 9.007
Ag 0.000 0.000 5.255
Ag 1.385 -2.217 7.523
Ag -1.385 2.217 9.007
Ag 0.000 0.000 11.275
Ag 1.227 2.308 7.523
Ag 2.612 0.091 9.007
Pd -1.229 -2.220 6.277
Pd -2.537 -0.046 10.254
Pd -1.308 2.174 6.277
Pd 1.308 -2.174 10.254
Pd 2.537 0.046 6.277
Pd 1.229 2.220 10.254
CELL_PARAMETERS angstrom
3.903 2.253 5.510
-3.903 2.253 5.510
0.000 -4.507 5.510
```

## Properties
Formation enthalpy at 0 K = 81 meV per atom
Magnetization = 0.00 μB/f.u.
Space group = R-3, No. 148
Density = 9.742 g/cm3
D(E_F) = 5.6 states/eV per cell